1.
Entry from Alexandria via LeMat-Bulk: crystalline AlZn3O4 at its relaxed geometry (PBE).

It has space group I-42m (No. 121), with a = 4.6394 Å, b = 4.6394 Å, c = 9.1373 Å, α = 90.00°, β = 90.00° and γ = 90.00°. Symmetry generates all atoms from Al at (0.0000, 0.0000, 0.0000), Zn at (0.0000, 0.0000, 0.5000), Zn at (0.0000, 0.5000, 0.2500) and O at (0.2255, 0.2255, 0.8852).

For the uncorrected formation energy, the calculation gives -1.7103 eV/atom. The crystal system is tetragonal. The value obtained for the total energy is -5.135 eV/atom.

=====

2.
Entry from Alexandria via LeMat-Bulk: crystalline TlMoW2 at its relaxed geometry (PBE).

It has space group Fm-3m (No. 225), with a = 6.5386 Å, b = 6.5386 Å, c = 6.5386 Å, α = 90.00°, β = 90.00° and γ = 90.00°. Symmetry generates all atoms from Tl at (0.0000, 0.0000, 0.0000), Mo at (0.0000, 0.0000, 0.5000) and W at (0.2500, 0.2500, 0.2500).

The calculation puts the offset from the most stable computed form at 409 meV/atom. Its energy of formation from the pure elements is 0.912 eV per atom. The crystal system is cubic. The value obtained for the total energy is -8.864 eV/atom.

=====

3.
Entry from Alexandria via LeMat-Bulk: crystalline NaVW2 at its relaxed geometry (PBE).

It has space group Cm (No. 8), with a = 20.6083 Å, b = 3.0773 Å, c = 4.4155 Å, α = 90.00°, β = 101.50° and γ = 90.00°. Symmetry generates all atoms from Na at (0.0000, 0.0000, 0.0000), Na at (0.0087, 0.5000, 0.5085), V at (0.1467, 0.0000, 0.6534), V at (0.2522, 0.0000, 0.2520), W at (0.1439, 0.5000, 0.1507), W at (0.2520, 0.5000, 0.7517), W at (0.3620, 0.0000, 0.8544) and W at (0.3627, 0.5000, 0.3553).

The calculation puts the offset from the most stable computed form at 194 meV/atom. Its energy of formation from the pure elements is 0.459 eV per atom. The crystal system is monoclinic. The value obtained for the total energy is -8.627 eV/atom.

=====

4.
Entry from Alexandria via LeMat-Bulk: crystalline Fe2MoBr at its relaxed geometry (PBE).

It has space group Fm-3m (No. 225), with a = 6.1303 Å, b = 6.1303 Å, c = 6.1303 Å, α = 90.00°, β = 90.00° and γ = 90.00°. Symmetry generates all atoms from Fe at (0.2500, 0.2500, 0.2500), Mo at (0.0000, 0.0000, 0.0000) and Br at (0.0000, 0.0000, 0.5000).

The calculation puts the offset from the most stable computed form at 615 meV/atom. For the uncorrected formation energy, the calculation gives 1.0398 eV/atom. The crystal system is cubic. The value obtained for the total energy is -6.318 eV/atom.

=====

Computed values of magnetization (unit: μB/cell) for the preceding records, in sequence: 0.000 0.000 0.000 11.530.